Crystalline MgCoAsP2 at its relaxed geometry. Source: the Alexandria database, functional PBE.

Properties
For the calculated formation energy, the calculation gives 0.22 eV/atom.

Cell lengths 4.174, 5.475, 4.174 Å; angles 90.00, 90.00, 90.00 degrees
Atoms (fractional coordinates):
As1 0.000 0.500 0.000
Co1 0.000 0.000 0.000
P1 0.500 0.000 0.000
Mg1 0.500 0.500 0.500
P2 0.000 0.000 0.500


Crystalline Mg2CoAs2Rh at its relaxed geometry. Source: the Alexandria database, functional PBE.

Properties
For the calculated formation energy, the calculation gives -0.49 eV/atom.

Cell lengths 5.734, 5.697, 7.302 Å; angles 112.96, 113.12, 90.00 degrees
Site moments in Bohr magnetons follow the coordinates.
Atoms (fractional coordinates):
Mg1 0.397 0.157 0.314  0.00
As1 0.395 0.620 0.240  0.01
As2 0.156 0.880 0.760  0.01
Mg2 0.083 0.343 0.686  0.00
As3 0.605 0.380 0.760  0.01
Rh1 0.000 0.750 0.000  0.06
As4 0.844 0.120 0.240  0.01
Mg3 0.603 0.843 0.686  0.00
Co1 0.500 0.250 0.000  0.80
Rh2 0.000 0.250 0.000  0.06
Co2 0.500 0.750 0.000  0.80
Mg4 0.917 0.657 0.314  0.00


Crystalline MgCo2AsSe at its relaxed geometry. Source: the Alexandria database, functional PBE.

Cell lengths 4.325, 5.558, 4.325 Å; angles 90.00, 90.00, 90.00 degrees
Site moments in Bohr magnetons follow the coordinates.
Atoms (fractional coordinates):
Mg1 0.500 0.500 0.500  -0.02
Co1 0.000 0.000 0.500  1.19
As1 0.000 0.000 0.000  -0.03
Se1 0.000 0.500 0.000  0.04
Co2 0.500 0.000 0.000  1.34


Number 1: E_tot -23.1 eV/f.u.. Number 2: E_tot -29.9 eV/f.u.. Number 3: E_tot -21.8 eV/f.u..